No. 1
# meta-GGA SCAN AgAsPt, single point on PBEsol structure
# Theoretical density (g/cm3): 11.167
# M_tot (μB/f.u.): 0.0
# Crystal system: cubic
# E above lowest polymorph (meV/atom): 80
# Formation energy from the elements (eV/atom): -0.034
data_AgAsPt
_chemical_formula_sum 'Ag4 As4 Pt4'
_cell_length_a 6.080
_cell_length_b 6.080
_cell_length_c 6.080
_cell_angle_alpha 90.00
_cell_angle_beta 90.00
_cell_angle_gamma 90.00
_symmetry_space_group_name_H-M 'F -4 3 m'
_symmetry_Int_Tables_number 216
_symmetry_space_group_name_Hall 'F -4 2 3'
loop_
_atom_site_label
_atom_site_fract_x
_atom_site_fract_y
_atom_site_fract_z
Ag1 0.000 0.000 0.000
As1 0.000 0.000 0.500
Pt1 0.250 0.250 0.250



No. 2
# meta-GGA SCAN AgAsPt, single point on PBEsol structure
# Theoretical density (g/cm3): 12.799
# M_tot (μB/f.u.): 0.0
# Crystal system: hexagonal
# E above lowest polymorph (meV/atom): 32
# Formation energy from the elements (eV/atom): -0.082
data_AgAsPt
_chemical_formula_sum 'Ag1 As1 Pt1'
_cell_length_a 4.4027
_cell_length_b 4.4027
_cell_length_c 2.9205
_cell_angle_alpha 90.00
_cell_angle_beta 90.00
_cell_angle_gamma 120.00
_symmetry_space_group_name_H-M 'P -6 m 2'
_symmetry_Int_Tables_number 187
_symmetry_space_group_name_Hall 'P -6 2'
loop_
_atom_site_label
_atom_site_fract_x
_atom_site_fract_y
_atom_site_fract_z
Ag1 0.0000 0.0000 0.0000
As1 0.3333 0.6667 0.5000
Pt1 0.6667 0.3333 0.5000



No. 3
# meta-GGA SCAN ZnAg2AsPt, single point on PBEsol structure
# Theoretical density (g/cm3): 7.704
# M_tot (μB/f.u.): 0.0
# Crystal system: tetragonal
# Formation energy from the elements (eV/atom): 0.446
data_ZnAg2AsPt
_chemical_formula_sum 'Zn1 Ag2 As1 Pt1'
_cell_length_a 5.156
_cell_length_b 5.156
_cell_length_c 4.468
_cell_angle_alpha 90.00
_cell_angle_beta 90.00
_cell_angle_gamma 90.00
_symmetry_space_group_name_H-M 'P 4/m m m'
_symmetry_Int_Tables_number 123
_symmetry_space_group_name_Hall '-P 4 2'
loop_
_atom_site_label
_atom_site_fract_x
_atom_site_fract_y
_atom_site_fract_z
Zn1 0.000 0.000 0.000
Ag1 0.000 0.500 0.500
As1 0.500 0.500 0.000
Pt1 0.500 0.500 0.500



No. 4
# meta-GGA SCAN RbAgSbAs2, single point on PBEsol structure
# Theoretical density (g/cm3): 5.059
# Raw formation energy (meV per atom): 310
# M_tot (μB/f.u.): 0.0
# Crystal system: tetragonal
data_RbAgSbAs2
_chemical_formula_sum 'Rb1 Ag1 Sb1 As2'
_cell_length_a 5.432
_cell_length_b 5.432
_cell_length_c 5.173
_cell_angle_alpha 90.00
_cell_angle_beta 90.00
_cell_angle_gamma 90.00
_symmetry_space_group_name_H-M 'P 4/m m m'
_symmetry_Int_Tables_number 123
_symmetry_space_group_name_Hall '-P 4 2'
loop_
_atom_site_label
_atom_site_fract_x
_atom_site_fract_y
_atom_site_fract_z
Rb1 0.000 0.000 0.000
Ag1 0.500 0.500 0.000
Sb1 0.500 0.500 0.500
As1 0.000 0.500 0.500



No. 5
# meta-GGA SCAN RbAg2As3Se6, single point on PBEsol structure
# Theoretical density (g/cm3): 5.303
# Raw formation energy (meV per atom): -345
# M_tot (μB/f.u.): 0.0
# Crystal system: monoclinic
data_RbAg2As3Se6
_chemical_formula_sum 'Rb4 Ag8 As12 Se24'
_cell_length_a 9.789
_cell_length_b 7.450
_cell_length_c 19.685
_cell_angle_alpha 90.00
_cell_angle_beta 119.29
_cell_angle_gamma 90.00
_symmetry_space_group_name_H-M 'P 1 21/c 1'
_symmetry_Int_Tables_number 14
loop_
_symmetry_equiv_pos_as_xyz
'x,y,z'
'-x,-y,-z'
'-x,y+1/2,-z+1/2'
'x,-y+1/2,z+1/2'
loop_
_atom_site_label
_atom_site_fract_x
_atom_site_fract_y
_atom_site_fract_z
Rb1 0.158 0.166 0.168
Ag1 0.345 0.009 0.994
Ag2 0.450 0.023 0.419
As1 0.046 0.138 0.351
As2 0.215 0.602 0.081
As3 0.347 0.614 0.275
Se1 0.018 0.212 0.954
Se2 0.136 0.701 0.769
Se3 0.266 0.680 0.977
Se4 0.272 0.203 0.869
Se5 0.416 0.724 0.688
Se6 0.445 0.234 0.107



No. 6
# meta-GGA SCAN RbTc2AgAs, single point on PBEsol structure
# Theoretical density (g/cm3): 5.873
# M_tot (μB/f.u.): 7.9
# Crystal system: tetragonal
# Formation energy from the elements (eV/atom): 1.558
data_RbTc2AgAs
_chemical_formula_sum 'Rb1 Tc2 Ag1 As1'
_cell_length_a 5.176
_cell_length_b 5.176
_cell_length_c 4.899
_cell_angle_alpha 90.00
_cell_angle_beta 90.00
_cell_angle_gamma 90.00
_symmetry_space_group_name_H-M 'P 4/m m m'
_symmetry_Int_Tables_number 123
_symmetry_space_group_name_Hall '-P 4 2'
loop_
_atom_site_label
_atom_site_fract_x
_atom_site_fract_y
_atom_site_fract_z
Rb1 0.000 0.000 0.000
Tc1 0.000 0.500 0.500
Ag1 0.500 0.500 0.500
As1 0.500 0.500 0.000



No. 7
# meta-GGA SCAN Re2AgAs, single point on PBEsol structure
# Theoretical density (g/cm3): 15.277
# M_tot (μB/f.u.): 0.0
# Crystal system: tetragonal
# Formation energy from the elements (eV/atom): 0.759
data_Re2AgAs
_chemical_formula_sum 'Re4 Ag2 As2'
_cell_length_a 3.991
_cell_length_b 3.991
_cell_length_c 7.577
_cell_angle_alpha 90.00
_cell_angle_beta 90.00
_cell_angle_gamma 90.00
_symmetry_space_group_name_H-M 'I -4 m 2'
_symmetry_Int_Tables_number 119
_symmetry_space_group_name_Hall 'I -4 -2'
loop_
_atom_site_label
_atom_site_fract_x
_atom_site_fract_y
_atom_site_fract_z
Re1 0.000 0.000 0.000
Re2 0.000 0.500 0.250
Ag1 0.000 0.000 0.500
As1 0.000 0.500 0.750



No. 8
# meta-GGA SCAN Re2AgAs, single point on PBEsol structure
# Theoretical density (g/cm3): 14.878
# M_tot (μB/f.u.): 0.0
# Crystal system: orthorhombic
# Formation energy from the elements (eV/atom): 0.793
data_Re2AgAs
_chemical_formula_sum 'Re4 Ag2 As2'
_cell_length_a 2.940
_cell_length_b 4.781
_cell_length_c 8.817
_cell_angle_alpha 90.00
_cell_angle_beta 90.00
_cell_angle_gamma 90.00
_symmetry_space_group_name_H-M 'C m m m'
_symmetry_Int_Tables_number 65
_symmetry_space_group_name_Hall '-C 2 2'
loop_
_atom_site_label
_atom_site_fract_x
_atom_site_fract_y
_atom_site_fract_z
Re1 0.000 0.000 0.225
Ag1 0.000 0.500 0.500
As1 0.000 0.500 0.000



No. 9
# meta-GGA SCAN Ag2AsRh, single point on PBEsol structure
# Theoretical density (g/cm3): 10.267
# M_tot (μB/f.u.): 0.0
# Crystal system: orthorhombic
# Formation energy from the elements (eV/atom): 0.181
data_Ag2AsRh
_chemical_formula_sum 'Ag2 As1 Rh1'
_cell_length_a 2.897
_cell_length_b 4.183
_cell_length_c 5.252
_cell_angle_alpha 90.00
_cell_angle_beta 90.00
_cell_angle_gamma 90.00
_symmetry_space_group_name_H-M 'P m m m'
_symmetry_Int_Tables_number 47
loop_
_symmetry_equiv_pos_as_xyz
'x,y,z'
'-x,-y,-z'
'-x,-y,z'
'x,y,-z'
'x,-y,-z'
'-x,y,z'
'-x,y,-z'
'x,-y,z'
loop_
_atom_site_label
_atom_site_fract_x
_atom_site_fract_y
_atom_site_fract_z
Ag1 0.000 0.000 0.247
As1 0.500 0.500 0.500
Rh1 0.500 0.500 0.000



No. 10
# meta-GGA SCAN Ag2AsRh, single point on PBEsol structure
# Theoretical density (g/cm3): 10.180
# M_tot (μB/f.u.): 0.0
# Crystal system: orthorhombic
# Formation energy from the elements (eV/atom): 0.000
data_Ag2AsRh
_chemical_formula_sum 'Ag4 As2 Rh2'
_cell_length_a 4.166
_cell_length_b 2.935
_cell_length_c 10.501
_cell_angle_alpha 90.00
_cell_angle_beta 90.00
_cell_angle_gamma 90.00
_symmetry_space_group_name_H-M 'A m m 2'
_symmetry_Int_Tables_number 38
loop_
_symmetry_equiv_pos_as_xyz
'x,y,z'
'-x,-y,z'
'-x,y,z'
'x,-y,z'
'x,y+1/2,z+1/2'
'-x,-y+1/2,z+1/2'
'-x,y+1/2,z+1/2'
'x,-y+1/2,z+1/2'
loop_
_atom_site_label
_atom_site_fract_x
_atom_site_fract_y
_atom_site_fract_z
Ag1 0.000 0.000 0.000
Ag2 0.500 0.000 0.368
As1 0.000 0.000 0.736
Rh1 0.500 0.000 0.631



No. 11
# meta-GGA SCAN AgAsRh2, single point on PBEsol structure
# Theoretical density (g/cm3): 10.898
# M_tot (μB/f.u.): 0.0
# Crystal system: orthorhombic
# Formation energy from the elements (eV/atom): -0.103
data_AgAsRh2
_chemical_formula_sum 'Ag2 As2 Rh4'
_cell_length_a 3.700
_cell_length_b 4.474
_cell_length_c 7.154
_cell_angle_alpha 90.00
_cell_angle_beta 90.00
_cell_angle_gamma 90.00
_symmetry_space_group_name_H-M 'I m m m'
_symmetry_Int_Tables_number 71
_symmetry_space_group_name_Hall '-I 2 2'
loop_
_atom_site_label
_atom_site_fract_x
_atom_site_fract_y
_atom_site_fract_z
Ag1 0.000 0.000 0.000
As1 0.000 0.000 0.500
Rh1 0.000 0.500 0.217